Entry 1:
Material: ZnSi2Ni9
Method: DFT, PBE-GGA
State: optimized geometry

## Properties
Formation energy (no corrections), eV/atom: -0.335

Cell: 3.5333 3.5333 10.5727 Å, 90.00 90.00 90.00°
With the nearest neighbours (Å) after each atom.
Fractional positions:
Zn1 0.0000 0.0000 0.0000  12 Ni 2.50-2.55
Si1 0.0000 0.0000 0.3327  12 Ni 2.44-2.50
Si2 0.0000 0.0000 0.6673  12 Ni 2.44-2.50
Ni1 0.5000 0.5000 0.0000  4 Zn 2.50, 8 Ni 2.55
Ni2 0.5000 0.5000 0.3374  8 Ni 2.47, 4 Si 2.50
Ni3 0.5000 0.5000 0.6626  8 Ni 2.47, 4 Si 2.50
Ni4 0.5000 0.0000 0.1740  2 Si 2.44, 8 Ni 2.47-2.55, 2 Zn 2.55
Ni5 0.5000 0.0000 0.5000  8 Ni 2.47-2.50, 4 Si 2.50
Ni6 0.5000 0.0000 0.8260  2 Si 2.44, 8 Ni 2.47-2.55, 2 Zn 2.55
Ni7 0.0000 0.5000 0.1740  2 Si 2.44, 8 Ni 2.47-2.55, 2 Zn 2.55
Ni8 0.0000 0.5000 0.5000  8 Ni 2.47-2.50, 4 Si 2.50
Ni9 0.0000 0.5000 0.8260  2 Si 2.44, 8 Ni 2.47-2.55, 2 Zn 2.55

---

Entry 2:
Material: Pr4SnRh
Method: DFT, PBE-GGA
State: optimized geometry

## Properties
Distance to the lowest polymorph of the same formula, meV per atom: 9

Cell: 6.2170 8.4946 8.5015 Å, 113.59 103.28 105.79°
With the nearest neighbours (Å) after each atom.
Fractional positions:
Pr1 0.0454 0.2088 0.8616  2 Rh 2.89-2.97
Pr2 0.7752 0.6998 0.6298  2 Rh 3.21-3.24, 2 Sn 3.30-3.32, 1 Pr 3.51
Pr3 0.3162 0.6528 0.8616  2 Rh 2.89-2.97
Pr4 0.3545 0.9299 0.6298  2 Rh 3.21-3.24, 2 Sn 3.30-3.32, 1 Pr 3.51
Pr5 0.6455 0.0701 0.3702  2 Rh 3.21-3.24, 2 Sn 3.30-3.32, 1 Pr 3.51
Pr6 0.6838 0.3472 0.1384  2 Rh 2.89-2.97
Pr7 0.2248 0.3002 0.3702  2 Rh 3.21-3.24, 2 Sn 3.30-3.32, 1 Pr 3.51
Pr8 0.9546 0.7912 0.1384  2 Rh 2.89-2.97
Sn1 0.3725 0.6225 0.2451  8 Pr 3.30-3.41
Sn2 0.6275 0.3775 0.7549  8 Pr 3.30-3.41
Rh1 0.2496 0.9996 0.9992  6 Pr 2.89-3.21, 2 Rh 3.11
Rh2 0.7504 0.0004 0.0008  6 Pr 2.89-3.21, 2 Rh 3.11

---

Entry 3:
Material: KRuRh
Method: DFT, PBE-GGA
State: optimized geometry

## Properties
Distance to the lowest polymorph of the same formula, meV per atom: 15

Cell: 5.3170 3.9989 6.6637 Å, 90.00 79.34 90.00°
With the nearest neighbours (Å) after each atom.
Fractional positions:
Ru1 0.5954 0.0000 0.8857  2 Ru 2.49, 4 Rh 2.59-2.69
Ru2 0.3298 0.5000 0.0038  2 Ru 2.49, 4 Rh 2.54-2.70
K1 0.9474 0.5000 0.5195  4 Rh 3.32-3.48, 4 K 3.41-3.46, 3 Ru 3.43-3.65
K2 0.4723 0.0000 0.3890  4 Ru 3.30-3.49, 3 Rh 3.40-3.51, 4 K 3.41-3.46
Rh1 0.1019 0.0000 0.8832  4 Ru 2.54-2.69, 2 Rh 2.58
Rh2 0.8173 0.5000 0.0270  2 Rh 2.58, 4 Ru 2.59-2.70

---

Entry 4:
Material: V2Cd2Sn
Method: DFT, PBE-GGA
State: optimized geometry

## Properties
Electronic total energy, eV for the cell shown: -44.909

Cell: 6.7916 6.7916 4.2534 Å, 90.00 90.00 90.00°
With the nearest neighbours (Å) after each atom.
Fractional positions:
Cd1 0.1808 0.6808 0.5000  6 V 2.93-2.96, 4 Sn 3.28
Cd2 0.6808 0.8192 0.5000  6 V 2.93-2.96, 4 Sn 3.28
Cd3 0.8192 0.3192 0.5000  6 V 2.93-2.96, 4 Sn 3.28
Cd4 0.3192 0.1808 0.5000  6 V 2.93-2.96, 4 Sn 3.28
Sn1 0.0000 0.0000 0.0000  4 V 2.77
Sn2 0.5000 0.5000 0.0000  4 V 2.77
V1 0.3947 0.8947 0.0000  1 V 2.02
V2 0.8947 0.6053 0.0000  1 V 2.02
V3 0.6053 0.1053 0.0000  1 V 2.02
V4 0.1053 0.3947 0.0000  1 V 2.02

---

Entry 5:
Material: Ti2BeH
Method: DFT, PBE-GGA
State: optimized geometry

## Properties
Distance to the lowest polymorph of the same formula, meV per atom: 438

Cell: 4.6718 4.6718 6.0303 Å, 67.21 67.21 90.00°
With the nearest neighbours (Å) after each atom.
Fractional positions:
Be1 0.0000 0.0000 0.0000  4 Ti 2.57
Be2 0.7500 0.2500 0.5000  4 Ti 2.57
H1 0.5000 0.5000 0.0000  4 Ti 1.77
H2 0.2500 0.7500 0.5000  4 Ti 1.77
Ti1 0.4663 0.1250 0.2500  2 H 1.77
Ti2 0.2837 0.6250 0.2500  2 H 1.77
Ti3 0.3750 0.5337 0.7500  2 H 1.77
Ti4 0.8750 0.7163 0.7500  2 H 1.77

---

Entry 6:
Material: CaMgSi2Au5
Method: DFT, PBE-GGA
State: optimized geometry

## Properties
Formation energy (no corrections), eV/atom: -0.316

Cell: 4.5415 4.5415 9.7444 Å, 90.00 90.00 90.00°
With the nearest neighbours (Å) after each atom.
Fractional positions:
Ca1 0.0000 0.0000 0.5000  4 Au 3.21
Mg1 0.0000 0.0000 0.0000  8 Au 2.79
Si1 0.5000 0.5000 0.2563  5 Au 2.37-2.44
Si2 0.5000 0.5000 0.7437  5 Au 2.37-2.44
Au1 0.0000 0.5000 0.1660  2 Si 2.44
Au2 0.5000 0.0000 0.1660  2 Si 2.44
Au3 0.0000 0.5000 0.8340  2 Si 2.44
Au4 0.5000 0.0000 0.8340  2 Si 2.44
Au5 0.5000 0.5000 0.5000  2 Si 2.37

---

Entry 7:
Material: Nd3Sm5Y
Method: DFT, PBE-GGA
State: optimized geometry

## Properties
Distance to the lowest polymorph of the same formula, meV per atom: 0

Cell: 6.2579 11.1117 11.7319 Å, 124.05 90.00 106.36°
With the nearest neighbours (Å) after each atom.
Fractional positions:
Nd1 0.0000 0.0000 0.0000  2 Y 2.97, 2 Sm 3.13
Nd2 0.4034 0.3585 0.3285  1 Nd 3.35, 4 Sm 3.47-3.62, 1 Y 3.49
Nd3 0.0000 0.0000 0.5000  2 Y 2.97, 2 Sm 3.13
Nd4 0.5966 0.6415 0.6715  1 Nd 3.35, 4 Sm 3.47-3.62, 1 Y 3.49
Nd5 0.9551 0.3585 0.8285  1 Nd 3.35, 4 Sm 3.47-3.62, 1 Y 3.49
Nd6 0.0449 0.6415 0.1715  1 Nd 3.35, 4 Sm 3.47-3.62, 1 Y 3.49
Sm1 0.4339 0.0000 0.7500  2 Y 3.06-3.20
Sm2 0.6232 0.6438 0.9785  5 Sm 3.45-3.74, 2 Nd 3.49-3.59, 1 Y 3.67
Sm3 0.8233 0.2794 0.1315  2 Nd 3.13-3.47
Sm4 0.3768 0.3562 0.0215  5 Sm 3.45-3.74, 2 Nd 3.49-3.59, 1 Y 3.67
Sm5 0.5438 0.7206 0.3685  2 Nd 3.13-3.47
Sm6 0.5661 0.0000 0.2500  2 Y 3.06-3.20
Sm7 0.0206 0.6438 0.4785  5 Sm 3.45-3.74, 2 Nd 3.49-3.59, 1 Y 3.67
Sm8 0.9794 0.3562 0.5215  5 Sm 3.45-3.74, 2 Nd 3.49-3.59, 1 Y 3.67
Sm9 0.4562 0.2794 0.6315  2 Nd 3.13-3.47
Sm10 0.1767 0.7206 0.8685  2 Nd 3.13-3.47
Y1 0.9225 0.0000 0.7500  2 Nd 2.97, 2 Sm 3.06-3.20
Y2 0.0775 0.0000 0.2500  2 Nd 2.97, 2 Sm 3.06-3.20

---

Entry 8:
Material: Zr2Al3Pt
Method: DFT, PBE-GGA
State: optimized geometry

## Properties
Electronic total energy, eV for the cell shown: -39.244

Cell: 5.3439 5.3439 5.2339 Å, 89.99 120.68 120.02°
With the nearest neighbours (Å) after each atom.
Fractional positions:
Zr1 0.7482 0.3741 0.1223  9 Al 3.05-3.11, 3 Pt 3.13, 4 Zr 3.19-3.25
Zr2 0.2518 0.6259 0.8777  9 Al 3.05-3.11, 3 Pt 3.13, 4 Zr 3.19-3.25
Al1 0.5000 0.5000 0.5000  2 Pt 2.62, 4 Al 2.67
Al2 0.0000 0.0000 0.5000  2 Pt 2.62, 4 Al 2.67
Al3 0.5000 0.0000 0.5000  2 Pt 2.62, 4 Al 2.67
Pt1 0.0000 0.0000 0.0000  6 Al 2.62

---

Entry 9:
Material: Pm5Pr2Sc
Method: DFT, PBE-GGA
State: optimized geometry

## Properties
Electronic total energy, eV for the cell shown: -39.384

Cell: 5.1231 5.1231 10.8339 Å, 103.68 103.68 90.00°
With the nearest neighbours (Å) after each atom.
Fractional positions:
Pm1 0.5000 0.5000 0.0000  8 Pm 3.55, 4 Sc 3.62
Pm2 0.3794 0.8794 0.7588  6 Pm 3.55-3.62, 2 Sc 3.55, 4 Pr 3.67-3.69
Pm3 0.8794 0.3794 0.7588  2 Sc 3.55, 6 Pm 3.55-3.62, 4 Pr 3.67-3.69
Pm4 0.6206 0.1206 0.2412  6 Pm 3.55-3.62, 2 Sc 3.55, 4 Pr 3.67-3.69
Pm5 0.1206 0.6206 0.2412  2 Sc 3.55, 6 Pm 3.55-3.62, 4 Pr 3.67-3.69
Pr1 0.7496 0.7496 0.4992  4 Pr 3.62, 8 Pm 3.67-3.69
Pr2 0.2504 0.2504 0.5008  4 Pr 3.62, 8 Pm 3.67-3.69
Sc1 0.0000 0.0000 0.0000  12 Pm 3.55-3.62

---

Entry 10:
Material: KTe2Os
Method: DFT, PBE-GGA
State: optimized geometry

## Properties
Distance to the lowest polymorph of the same formula, meV per atom: 391
Formation energy (no corrections), eV/atom: 0.224

Cell: 3.2597 3.7033 9.5269 Å, 90.00 90.00 90.00°
With the nearest neighbours (Å) after each atom.
Fractional positions:
K1 0.0000 0.0000 0.4799  2 K 3.26, 5 Te 3.41-3.44
Os1 0.5000 0.5000 0.9537  5 Te 2.62-2.70
Te1 0.0000 0.0000 0.8380  4 Os 2.70
Te2 0.5000 0.5000 0.2285  1 Os 2.62

---

Entry 11:
Material: La3PbN
Method: DFT, PBE-GGA
State: optimized geometry

## Properties
Formation energy (no corrections), eV/atom: -0.766

Cell: 9.3576 9.2728 3.8570 Å, 90.00 110.98 90.00°
With the nearest neighbours (Å) after each atom.
Fractional positions:
Pb1 0.0791 0.2500 0.0907  9 La 3.46-3.81, 2 Pb 3.86
Pb2 0.9209 0.7500 0.9093  9 La 3.46-3.81, 2 Pb 3.86
N1 0.6445 0.2500 0.1422  4 La 2.31-2.40
N2 0.3555 0.7500 0.8578  4 La 2.31-2.40
La1 0.2018 0.9528 0.7309  1 N 2.31
La2 0.7982 0.0472 0.2691  1 N 2.31
La3 0.2018 0.5472 0.7309  1 N 2.31
La4 0.7982 0.4528 0.2691  1 N 2.31
La5 0.4851 0.2500 0.4958  2 N 2.35-2.40
La6 0.5149 0.7500 0.5042  2 N 2.35-2.40

---

Entry 12:
Material: LaP3H8O7
Method: DFT, PBE-GGA
State: optimized geometry

## Properties
Electronic total energy, eV for the cell shown: -219.344

Cell: 7.2628 8.1036 9.0734 Å, 110.05 97.47 104.98°
With the nearest neighbours (Å) after each atom.
Fractional positions:
La1 0.8478 0.6871 0.6340  8 O 2.45-2.67
La2 0.1522 0.3129 0.3660  8 O 2.45-2.67
P1 0.6508 0.3210 0.2323  2 H 1.42, 2 O 1.52-1.53
P2 0.3492 0.6790 0.7677  2 H 1.42, 2 O 1.52-1.53
P3 0.0327 0.1925 0.9136  2 H 1.42, 2 O 1.52
P4 0.9673 0.8075 0.0864  2 H 1.42, 2 O 1.52
P5 0.5281 0.2787 0.6868  2 H 1.42, 2 O 1.53
P6 0.4719 0.7213 0.3132  2 H 1.42, 2 O 1.53
H1 0.6581 0.3680 0.0957  1 P 1.42
H2 0.3419 0.6320 0.9043  1 P 1.42
H3 0.6364 0.1310 0.1722  1 P 1.42
H4 0.3636 0.8690 0.8278  1 P 1.42
H5 0.2273 0.1849 0.9195  1 P 1.42
H6 0.7727 0.8151 0.0805  1 P 1.42
H7 0.0346 0.3431 0.8670  1 P 1.42
H8 0.9654 0.6569 0.1330  1 P 1.42
H9 0.5456 0.1178 0.7087  1 P 1.42
H10 0.4544 0.8822 0.2913  1 P 1.42
H11 0.5328 0.3998 0.8445  1 P 1.42
H12 0.4672 0.6002 0.1555  1 P 1.42
H13 0.1731 0.9925 0.5498  1 O 0.99
H14 0.8269 0.0075 0.4502  1 O 0.99
H15 0.1872 0.7875 0.4758  1 O 1.00
H16 0.8128 0.2125 0.5242  1 O 1.00
O1 0.8450 0.4351 0.3596  1 P 1.53
O2 0.1550 0.5649 0.6404  1 P 1.53
O3 0.4662 0.3434 0.2867  1 P 1.52
O4 0.5338 0.6566 0.7133  1 P 1.52
O5 0.8894 0.0161 0.7806  1 P 1.52
O6 0.1106 0.9839 0.2194  1 P 1.52
O7 0.0014 0.2445 0.0844  1 P 1.52
O8 0.9986 0.7555 0.9156  1 P 1.52
O9 0.7117 0.3629 0.6381  1 P 1.53, 1 H 1.70
O10 0.2883 0.6371 0.3619  1 P 1.53, 1 H 1.70
O11 0.3271 0.2261 0.5757  1 P 1.53
O12 0.6729 0.7739 0.4243  1 P 1.53
O13 0.1266 0.8671 0.5509  2 H 0.99-1.00
O14 0.8734 0.1329 0.4491  2 H 0.99-1.00

---

| no. | calculated volume (Å³ per cell) | total moment (μB/cell) |
| --- | --- | --- |
| 1 | 131.99 | 1.54 |
| 2 | 365.60 | 0.00 |
| 3 | 139.24 | 0.00 |
| 4 | 196.19 | 0.00 |
| 5 | 110.11 | 0.00 |
| 6 | 200.98 | 0.00 |
| 7 | 635.68 | 0.00 |
| 8 | 104.55 | 0.00 |
| 9 | 267.98 | 0.00 |
| 10 | 115.00 | 0.00 |
| 11 | 312.49 | 0.56 |
| 12 | 470.33 | 0.00 |